# 1
## CoSiPt2 (GGA-PBE)

Data for CoSiPt2 after structural relaxation.

Formation energy from raw total energies in eV/atom: -0.257
Calculated volume in Å³/f.u.: 56.0
DOS(E_F) in states/eV/atom: 0.88
Uncorrected energy in eV/atom: -6.41

abc: 2.814 3.778 5.375
angles: 90.00 101.18 90.00
Positions (direct):
Co: 0.000 0.000 0.000
Si: 0.000 0.000 0.500
Pt: 0.398 0.500 0.745
Pt: 0.602 0.500 0.255


# 2
## NaP2PtCl (GGA-PBE)

Data for NaP2PtCl after structural relaxation.

Formation energy from raw total energies in eV/atom: 1.369
Calculated volume in Å³/f.u.: 110.3
DOS(E_F) in states/eV/atom: 1.05
Energy above the most stable polymorph in this dataset in eV per atom: 1.475
Uncorrected energy in eV/atom: -2.64

abc: 4.908 4.908 4.581
angles: 90.00 90.00 90.00
Positions (direct):
Na: 0.000 0.000 0.000
P: 0.000 0.500 0.000
P: 0.500 0.000 0.000
Pt: 0.500 0.500 0.500
Cl: 0.000 0.000 0.500


# 3
## K4SeN12 (GGA-PBE)

Data for K4SeN12 after structural relaxation.

Formation energy from raw total energies in eV/atom: -0.154
Calculated volume in Å³/f.u.: 418.2
DOS(E_F) in states/eV/atom: 0.37
Uncorrected energy in eV/atom: -6.49

abc: 8.160 8.160 8.160
angles: 109.47 109.47 109.47
Positions (direct):
K: 0.000 0.000 0.500
K: 0.000 0.500 0.000
K: 0.500 0.000 0.000
K: 0.500 0.500 0.500
Se: 0.000 0.000 0.000
N: 0.207 0.440 0.767
N: 0.233 0.672 0.440
N: 0.233 0.793 0.560
N: 0.328 0.560 0.767
N: 0.440 0.233 0.672
N: 0.440 0.767 0.207
N: 0.560 0.233 0.793
N: 0.560 0.767 0.328
N: 0.672 0.440 0.233
N: 0.767 0.207 0.440
N: 0.767 0.328 0.560
N: 0.793 0.560 0.233


# 4
## BaMnCr (GGA-PBE)

Data for BaMnCr after structural relaxation.

Energy of formation from the pure elements in eV/atom: 0.65
Calculated volume in Å³/f.u.: 74.7
DOS(E_F) in states/eV/atom: 0.86
Energy above the most stable polymorph in this dataset in eV per atom: 0.000
Uncorrected energy in eV/atom: -6.26

abc: 6.681 6.681 6.681
angles: 149.93 149.93 43.04
Positions (direct):
Ba: 0.000 0.000 0.000
Mn: 0.721 0.721 0.000
Cr: 0.276 0.276 0.000


# 5
## Ac8PtRh3 (GGA-PBE)

Data for Ac8PtRh3 after structural relaxation.

Energy of formation from the pure elements in eV/atom: -0.63
Calculated volume in Å³/f.u.: 453.3
DOS(E_F) in states/eV/atom: 0.85
Uncorrected energy in eV/atom: -5.71

abc: 8.450 8.450 8.431
angles: 117.02 117.02 62.81
Positions (direct):
Ac: 0.237 0.748 0.751
Ac: 0.245 0.245 0.254
Ac: 0.252 0.252 0.739
Ac: 0.252 0.763 0.249
Ac: 0.748 0.237 0.751
Ac: 0.748 0.748 0.261
Ac: 0.755 0.755 0.746
Ac: 0.763 0.252 0.249
Pt: 0.500 0.500 0.000
Rh: 0.000 0.000 0.000
Rh: 0.000 0.500 0.500
Rh: 0.500 0.000 0.500


# 6
## Y2SiPd (GGA-PBE)

Data for Y2SiPd after structural relaxation.

Formation energy from raw total energies in eV/atom: -0.005
Calculated volume in Å³/f.u.: 129.9
DOS(E_F) in states/eV/atom: 0.03
Uncorrected energy in eV/atom: -5.89

abc: 8.368 8.368 8.368
angles: 137.96 137.96 60.96
Positions (direct):
Y: 0.122 0.625 0.997
Y: 0.375 0.372 0.497
Y: 0.628 0.125 0.003
Y: 0.875 0.878 0.503
Si: 0.000 0.000 0.000
Si: 0.750 0.250 0.500
Pd: 0.250 0.750 0.500
Pd: 0.500 0.500 0.000


# 7
## Sc2TcHg (GGA-PBE)

Data for Sc2TcHg after structural relaxation.

Energy of formation from the pure elements in eV/atom: -0.15
Calculated volume in Å³/f.u.: 81.3
DOS(E_F) in states/eV/atom: 0.85
Uncorrected energy in eV/atom: -5.98

abc: 8.986 8.986 8.986
angles: 20.96 20.96 20.96
Positions (direct):
Sc: 0.240 0.240 0.240
Sc: 0.760 0.760 0.760
Tc: 0.500 0.500 0.500
Hg: 0.000 0.000 0.000


# 8
## MgRuAu2 (GGA-PBE)

Data for MgRuAu2 after structural relaxation.

Energy of formation from the pure elements in eV/atom: 0.04
Calculated volume in Å³/f.u.: 67.6
DOS(E_F) in states/eV/atom: 0.95
Uncorrected energy in eV/atom: -4.32

abc: 3.354 3.354 6.010
angles: 90.00 90.00 90.00
Positions (direct):
Mg: 0.000 0.000 0.000
Ru: 0.500 0.500 0.247
Au: 0.000 0.000 0.480
Au: 0.500 0.500 0.758